A plane-wave DFT calculation with PBE was carried out for a relaxed structure of Ti4NbH5.

Cell: 4.838 5.031 5.031 Å, 76.63 61.26 61.26°
Element x y z (fractional)
Ti 0.844 0.797 0.598
Ti 0.442 0.402 0.797
Ti 0.641 0.598 0.203
Ti 0.239 0.203 0.402
H 0.657 0.201 0.403
H 0.261 0.799 0.597
H 0.060 0.597 0.201
H 0.858 0.403 0.799
H 0.465 0.000 0.000
Nb 0.043 0.000 0.000

Summary:
DFT total energy = -6.163 eV per atom